No. 1
A plane-wave DFT calculation with GGA-PBE was carried out for RbNa2TcCl8 after structural relaxation.

CIF file:
```
data_RbNa2TcCl8
_symmetry_space_group_name_H-M 'P -1'
_symmetry_Int_Tables_number 2
_cell_length_a 5.885
_cell_length_b 6.391
_cell_length_c 9.183
_cell_angle_alpha 90.04
_cell_angle_beta 90.18
_cell_angle_gamma 92.93
loop_
_symmetry_equiv_pos_as_xyz
'x,y,z'
'-x,-y,-z'
loop_
_atom_site_label
_atom_site_fract_x
_atom_site_fract_y
_atom_site_fract_z
_atom_site_occupancy
Rb1 0.000 0.000 0.000 1
Na1 0.499 0.500 0.733 1
Tc1 0.000 0.000 0.500 1
Cl1 0.229 0.861 0.316 1
Cl2 0.231 0.316 0.499 1
Cl3 0.231 0.863 0.684 1
Cl4 0.251 0.491 0.000 1
```

Summary:
- V (A^3/atom) = 28.744
- E_form (uncorrected) (eV per formula unit) = -14.16
- total magnetic moment (μB per formula unit) = 3.2
- VASP energy (eV per cell) = -42.9

=====

No. 2
A plane-wave DFT calculation with GGA-PBE was carried out for Sc3TaTl after structural relaxation.

CIF file:
```
data_Sc3TaTl
_symmetry_space_group_name_H-M 'P m -3 m'
_symmetry_Int_Tables_number 221
_symmetry_space_group_name_Hall '-P 4 2 3'
_cell_length_a 5.162
_cell_length_b 5.162
_cell_length_c 5.162
_cell_angle_alpha 90.00
_cell_angle_beta 90.00
_cell_angle_gamma 90.00
loop_
_atom_site_label
_atom_site_fract_x
_atom_site_fract_y
_atom_site_fract_z
_atom_site_occupancy
Sc1 0.000 0.000 0.500 1
Ta1 0.000 0.000 0.000 1
Tl1 0.500 0.500 0.500 1
```

Summary:
- V (A^3/atom) = 27.510
- energy relative to the lowest polymorph listed for this composition (meV/atom) = 0.0
- total magnetic moment (μB per formula unit) = 0.0
- formation energy (meV/atom) = 631
- VASP energy (eV per cell) = -30.1

=====

No. 3
A plane-wave DFT calculation with GGA-PBE was carried out for Ba2Ga6Ir after structural relaxation.

CIF file:
```
data_Ba2Ga6Ir
_symmetry_space_group_name_H-M 'P -3 m 1'
_symmetry_Int_Tables_number 164
_symmetry_space_group_name_Hall '-P 3 2"'
_cell_length_a 6.7017
_cell_length_b 6.7017
_cell_length_c 5.5877
_cell_angle_alpha 90.00
_cell_angle_beta 90.00
_cell_angle_gamma 120.00
loop_
_atom_site_label
_atom_site_fract_x
_atom_site_fract_y
_atom_site_fract_z
_atom_site_occupancy
Ba1 0.3333 0.6667 0.1986 1
Ga1 0.1560 0.3120 0.6837 1
Ir1 0.0000 0.0000 0.0000 1
```

Summary:
- V (A^3/atom) = 24.149
- energy relative to the lowest polymorph listed for this composition (meV/atom) = 0.0
- total magnetic moment (μB per formula unit) = 0.0
- formation energy (meV/atom) = -414
- VASP energy (eV per cell) = -34.6

=====

No. 4
A plane-wave DFT calculation with GGA-PBE was carried out for Ac3GePd2 after structural relaxation.

CIF file:
```
data_Ac3GePd2
_symmetry_space_group_name_H-M 'R -3 c'
_symmetry_Int_Tables_number 167
_symmetry_space_group_name_Hall '-R 3 2"c'
_cell_length_a 7.9171
_cell_length_b 7.9171
_cell_length_c 21.0193
_cell_angle_alpha 90.00
_cell_angle_beta 90.00
_cell_angle_gamma 120.00
loop_
_atom_site_label
_atom_site_fract_x
_atom_site_fract_y
_atom_site_fract_z
_atom_site_occupancy
Ac1 0.0000 0.3085 0.2500 1
Ge1 0.0000 0.0000 0.0000 1
Pd1 0.0000 0.0000 0.1515 1
```

Summary:
- V (A^3/atom) = 31.694
- total magnetic moment (μB per formula unit) = 0.0
- formation energy (meV/atom) = -668
- VASP energy (eV per cell) = -188.0

=====

No. 5
A plane-wave DFT calculation with GGA-PBE was carried out for CeZn6Ir4 after structural relaxation.

CIF file:
```
data_CeZn6Ir4
_symmetry_space_group_name_H-M 'I -4 2 m'
_symmetry_Int_Tables_number 121
_symmetry_space_group_name_Hall 'I -4 2'
_cell_length_a 6.549
_cell_length_b 6.549
_cell_length_c 9.510
_cell_angle_alpha 90.00
_cell_angle_beta 90.00
_cell_angle_gamma 90.00
loop_
_atom_site_label
_atom_site_fract_x
_atom_site_fract_y
_atom_site_fract_z
_atom_site_occupancy
Ce1 0.000 0.000 0.000 1
Zn1 0.000 0.500 0.000 1
Zn2 0.186 0.186 0.296 1
Ir1 0.179 0.179 0.572 1
```

Summary:
- V (A^3/atom) = 18.543
- total magnetic moment (μB per formula unit) = 0.0
- formation energy (meV/atom) = -87
- VASP energy (eV per cell) = -100.0

=====

No. 6
A plane-wave DFT calculation with GGA-PBE was carried out for BaCaSb2Te after structural relaxation.

CIF file:
```
data_BaCaSb2Te
_symmetry_space_group_name_H-M 'P 4/m m m'
_symmetry_Int_Tables_number 123
_symmetry_space_group_name_Hall '-P 4 2'
_cell_length_a 5.779
_cell_length_b 5.779
_cell_length_c 5.866
_cell_angle_alpha 90.00
_cell_angle_beta 90.00
_cell_angle_gamma 90.00
loop_
_atom_site_label
_atom_site_fract_x
_atom_site_fract_y
_atom_site_fract_z
_atom_site_occupancy
Ba1 0.000 0.000 0.000 1
Ca1 0.500 0.500 0.500 1
Sb1 0.000 0.500 0.500 1
Te1 0.500 0.500 0.000 1
```

Summary:
- V (A^3/atom) = 39.181
- energy relative to the lowest polymorph listed for this composition (meV/atom) = 0.0
- E_form (uncorrected) (eV per formula unit) = -2.13
- total magnetic moment (μB per formula unit) = 0.0
- VASP energy (eV per cell) = -17.4

=====

No. 7
A plane-wave DFT calculation with GGA-PBE was carried out for TlTe2As after structural relaxation.

CIF file:
```
data_TlTe2As
_symmetry_space_group_name_H-M 'P m m 2'
_symmetry_Int_Tables_number 25
_cell_length_a 3.263
_cell_length_b 5.998
_cell_length_c 6.381
_cell_angle_alpha 90.00
_cell_angle_beta 90.00
_cell_angle_gamma 90.00
loop_
_symmetry_equiv_pos_as_xyz
'x,y,z'
'-x,-y,z'
'-x,y,z'
'x,-y,z'
loop_
_atom_site_label
_atom_site_fract_x
_atom_site_fract_y
_atom_site_fract_z
_atom_site_occupancy
Tl1 0.000 0.000 0.000 1
Te1 0.500 0.000 0.512 1
Te2 0.500 0.500 0.030 1
As1 0.500 0.500 0.442 1
```

Summary:
- V (A^3/atom) = 31.220
- E_form (uncorrected) (eV per formula unit) = -0.02
- total magnetic moment (μB per formula unit) = 0.0
- VASP energy (eV per cell) = -13.3

=====

No. 8
A plane-wave DFT calculation with GGA-PBE was carried out for MgCrIn2 after structural relaxation.

CIF file:
```
data_MgCrIn2
_symmetry_space_group_name_H-M 'P 4 m m'
_symmetry_Int_Tables_number 99
_cell_length_a 3.150
_cell_length_b 3.150
_cell_length_c 8.842
_cell_angle_alpha 90.00
_cell_angle_beta 90.00
_cell_angle_gamma 90.00
loop_
_symmetry_equiv_pos_as_xyz
'x,y,z'
'-y,x,z'
'-x,-y,z'
'y,-x,z'
'-x,y,z'
'y,x,z'
'x,-y,z'
'-y,-x,z'
loop_
_atom_site_label
_atom_site_fract_x
_atom_site_fract_y
_atom_site_fract_z
_atom_site_occupancy
Mg1 0.000 0.000 0.000 1
Cr1 0.500 0.500 0.219 1
In1 0.000 0.000 0.437 1
In2 0.500 0.500 0.730 1
```

Summary:
- V (A^3/atom) = 21.930
- total magnetic moment (μB per formula unit) = 3.9
- formation energy (meV/atom) = 254
- VASP energy (eV per cell) = -15.7

=====

No. 9
A plane-wave DFT calculation with GGA-PBE was carried out for LiThGe2Pt4 after structural relaxation.

CIF file:
```
data_LiThGe2Pt4
_symmetry_space_group_name_H-M 'R -3 m'
_symmetry_Int_Tables_number 166
_symmetry_space_group_name_Hall '-R 3 2"'
_cell_length_a 4.3140
_cell_length_b 4.3140
_cell_length_c 25.7933
_cell_angle_alpha 90.00
_cell_angle_beta 90.00
_cell_angle_gamma 120.00
loop_
_atom_site_label
_atom_site_fract_x
_atom_site_fract_y
_atom_site_fract_z
_atom_site_occupancy
Li1 0.0000 0.0000 0.0000 1
Th1 0.0000 0.0000 0.5000 1
Ge1 0.0000 0.0000 0.2629 1
Pt1 0.0000 0.0000 0.0988 1
Pt2 0.0000 0.0000 0.3653 1
```

Summary:
- V (A^3/atom) = 17.321
- total magnetic moment (μB per formula unit) = 0.0
- formation energy (meV/atom) = -791
- VASP energy (eV per cell) = -147.2

=====

No. 10
A plane-wave DFT calculation with GGA-PBE was carried out for TaSiPS2 after structural relaxation.

CIF file:
```
data_TaSiPS2
_symmetry_space_group_name_H-M 'P 4/m m m'
_symmetry_Int_Tables_number 123
_symmetry_space_group_name_Hall '-P 4 2'
_cell_length_a 4.693
_cell_length_b 4.693
_cell_length_c 5.032
_cell_angle_alpha 90.00
_cell_angle_beta 90.00
_cell_angle_gamma 90.00
loop_
_atom_site_label
_atom_site_fract_x
_atom_site_fract_y
_atom_site_fract_z
_atom_site_occupancy
Ta1 0.000 0.000 0.000 1
Si1 0.500 0.500 0.500 1
P1 0.000 0.000 0.500 1
S1 0.000 0.500 0.000 1
```

Summary:
- V (A^3/atom) = 22.166
- energy relative to the lowest polymorph listed for this composition (meV/atom) = 0.0
- E_form (uncorrected) (eV per formula unit) = 1.38
- total magnetic moment (μB per formula unit) = 0.0
- VASP energy (eV per cell) = -29.6

=====

No. 11
A plane-wave DFT calculation with GGA-PBE was carried out for Ag2PtW after structural relaxation.

CIF file:
```
data_Ag2PtW
_symmetry_space_group_name_H-M 'I -4 m 2'
_symmetry_Int_Tables_number 119
_symmetry_space_group_name_Hall 'I -4 -2'
_cell_length_a 4.321
_cell_length_b 4.321
_cell_length_c 7.070
_cell_angle_alpha 90.00
_cell_angle_beta 90.00
_cell_angle_gamma 90.00
loop_
_atom_site_label
_atom_site_fract_x
_atom_site_fract_y
_atom_site_fract_z
_atom_site_occupancy
Ag1 0.000 0.000 0.000 1
Ag2 0.000 0.500 0.250 1
Pt1 0.000 0.500 0.750 1
W1 0.000 0.000 0.500 1
```

Summary:
- V (A^3/atom) = 16.500
- energy relative to the lowest polymorph listed for this composition (meV/atom) = 316.0
- total magnetic moment (μB per formula unit) = 0.0
- formation energy (meV/atom) = 432
- VASP energy (eV per cell) = -45.9

=====

No. 12
A plane-wave DFT calculation with GGA-PBE was carried out for LaTa2Cu after structural relaxation.

CIF file:
```
data_LaTa2Cu
_symmetry_space_group_name_H-M 'R -3 m'
_symmetry_Int_Tables_number 166
_symmetry_space_group_name_Hall '-R 3 2"'
_cell_length_a 3.0032
_cell_length_b 3.0032
_cell_length_c 30.6939
_cell_angle_alpha 90.00
_cell_angle_beta 90.00
_cell_angle_gamma 120.00
loop_
_atom_site_label
_atom_site_fract_x
_atom_site_fract_y
_atom_site_fract_z
_atom_site_occupancy
La1 0.0000 0.0000 0.0000 1
Ta1 0.0000 0.0000 0.2367 1
Cu1 0.0000 0.0000 0.5000 1
```

Summary:
- V (A^3/atom) = 19.978
- energy relative to the lowest polymorph listed for this composition (meV/atom) = 349.6
- total magnetic moment (μB per formula unit) = 0.0
- formation energy (meV/atom) = 603
- VASP energy (eV per cell) = -91.0

=====

- Among the records above, which one has the highest V?
  BaCaSb2Te

=====

- V of number 1 (RbNa2TcCl8)?
  28.744 A^3/atom